No. 1
Computed, not measured: a relaxed YSiWSe2 crystal at the PBE-GGA level of DFT.

Results
**Crystal system**: tetragonal
**ρ**: 5.68 g cm⁻³
**E**: -5.92 eV per atom
**E above lowest polymorph**: 0.000 eV/atom

```
5
Lattice="-3.442 2.823 1.716 -2.506 -4.647 2.618 2.607 0.800 3.915" Properties=species:S:1:pos:R:3 pbc="T T T"
Se -1.721 1.412 0.858
W 0.000 0.000 0.000
Se 1.304 0.400 1.957
Y -1.253 -2.324 1.309
Si -1.670 -0.512 4.124
```

---

No. 2
Computed, not measured: a relaxed YSiWSe2 crystal at the PBE-GGA level of DFT.

Results
**Crystal system**: tetragonal
**ρ**: 5.09 g cm⁻³
**E**: -5.14 eV per atom
**E above lowest polymorph**: 0.781 eV/atom

```
5
Lattice="-2.995 -4.391 0.066 2.965 -2.080 -3.869 3.231 -2.150 3.632" Properties=species:S:1:pos:R:3 pbc="T T T"
Si 1.482 -1.040 -1.935
Y 0.000 0.000 0.000
Se 1.616 -1.075 1.816
W 1.600 -4.311 -0.086
Se -1.498 -2.195 0.033
```

---

No. 3
Computed, not measured: a relaxed Y3SiSe crystal at the PBE-GGA level of DFT.

Results
**Crystal system**: cubic
**ρ**: 4.26 g cm⁻³
**E**: -6.01 eV per atom
**E above lowest polymorph**: 0.000 eV/atom

```
5
Lattice="5.261 0.000 0.000 0.000 5.261 0.000 0.000 0.000 5.261" Properties=species:S:1:pos:R:3 pbc="T T T"
Se 0.000 0.000 0.000
Y 2.631 0.000 0.000
Si 2.631 2.631 2.631
Y 0.000 0.000 2.631
Y 0.000 2.631 0.000
```

---

No. 4
Computed, not measured: a relaxed Y2Si2Se crystal at the PBE-GGA level of DFT.

Results
**Crystal system**: tetragonal
**ρ**: 4.37 g cm⁻³
**E**: -6.34 eV per atom
**E above lowest polymorph**: 0.034 eV/atom

```
10
Lattice="-1.842 -0.644 7.374 -3.686 -6.510 -1.490 3.443 -2.104 0.676" Properties=species:S:1:pos:R:3 pbc="T T T"
Si -2.691 -7.263 3.475
Si -1.378 -4.193 6.344
Si 0.605 -1.996 3.086
Se -2.764 -3.577 2.942
Y -4.025 -4.979 4.998
Se 0.000 0.000 0.000
Y -3.590 -5.515 1.114
Y -1.939 -1.639 4.770
Y -1.504 -2.175 0.887
Si -0.707 -5.065 0.217
```